Material: Ga2SbTe4
Method: DFT, PBE
State: optimized geometry

ρ = 5.4 Mg/m³
Final energy = -3.41 eV per atom

```
Ga2SbTe4
1.0
-5.629 0.995 -3.669
-0.097 -4.542 5.050
1.171 5.959 3.042
Te Ga Sb
4 2 1
direct
0.829 0.320 0.149 Te
0.320 0.171 0.491 Te
0.171 0.680 0.851 Te
0.680 0.829 0.509 Te
0.750 0.250 0.500 Ga
0.250 0.750 0.500 Ga
0.500 0.500 0.000 Sb
```